# 1
UTl2I2Br4, relaxed, DFT GGA-PBE; ΔE_f (raw) = -1.010 eV per atom
1.0
7.0213 -3.8885 0.0000
7.0213 3.8885 0.0000
-4.4077 0.0000 6.8299
U Tl I Br
1 2 2 4
Cartesian
0.0000 0.0000 0.0000
-0.0069 0.0000 5.3808
9.6419 0.0000 1.4491
1.8835 0.0000 2.3795
7.7514 0.0000 4.4505
5.4328 1.9484 1.2043
4.2022 1.9484 5.6257
5.4328 -1.9484 1.2043
4.2022 -1.9484 5.6257



# 2
UTlIBr6, relaxed, DFT GGA-PBE; ΔE_f (raw) = -0.916 eV per atom
1.0
8.1169 0.0000 0.0000
-4.0584 7.0294 0.0000
0.0000 0.0000 15.7540
U Tl I Br
2 2 2 12
Cartesian
0.0000 4.6863 3.9385
4.0584 2.3431 11.8155
0.0000 4.6863 11.8155
4.0584 2.3431 3.9385
0.0000 0.0000 0.0000
0.0000 0.0000 7.8770
-1.1298 2.8080 2.3785
-2.1915 4.6470 5.4985
1.1298 2.8080 5.4985
-1.0617 6.6038 2.3785
2.9967 0.4256 10.2556
1.8669 2.3824 13.3755
2.1915 4.6470 2.3785
1.0617 6.6038 5.4985
5.1202 0.4256 13.3755
2.9286 4.2214 10.2556
6.2500 2.3824 10.2556
5.1882 4.2214 13.3755



# 3
Tl2VIBr5, relaxed, DFT GGA-PBE; ΔE_f (raw) = -0.746 eV per atom
1.0
-3.6776 3.6776 5.7015
3.6776 -3.6776 5.7015
3.6776 3.6776 -5.7015
Tl V I Br
2 1 1 5
Cartesian
3.6776 0.0000 0.0000
0.0000 3.6776 0.0000
0.0000 0.0000 3.5390
0.0000 0.0000 0.7756
1.9224 1.9224 -2.2044
1.7552 -1.7552 3.4971
0.0000 0.0000 6.0386
-1.7552 1.7552 3.4971
1.7552 1.7552 3.4971



| no. | total moment (μB/cell) | ρ (g/cm3) |
| --- | --- | --- |
| 1 | 2.0 | 5.433 |
| 2 | 2.9 | 3.875 |
| 3 | 1.0 | 5.309 |